No. 1
! UCd3 (PBE-GGA, relaxed); values from VASP
&SYSTEM
  ibrav = 0, nat = 4, ntyp = 2
/
ATOMIC_SPECIES
U 238.03 U.upf
Cd 112.41 Cd.upf
CELL_PARAMETERS angstrom
-1.323 -0.794 -4.899
-4.768 -1.517 -1.159
-3.226 3.236 -2.346
ATOMIC_POSITIONS crystal
U 0.000 0.000 0.000
Cd 0.250 0.250 0.250
Cd 0.500 0.500 0.500
Cd 0.750 0.750 0.750
! - energy relative to the elements (eV/f.u.) = 1.11
! - DFT total energy (eV/atom) = -3.230

***

No. 2
! KNiBr2 (PBE-GGA, relaxed); values from VASP
&SYSTEM
  ibrav = 0, nat = 4, ntyp = 3
/
ATOMIC_SPECIES
Br 79.90 Br.upf
K 39.10 K.upf
Ni 58.69 Ni.upf
CELL_PARAMETERS angstrom
3.855 0.000 0.000
0.000 3.855 0.000
0.000 0.000 7.592
ATOMIC_POSITIONS crystal
Br 0.500 0.500 0.251
K 0.000 0.000 0.449
Ni 0.500 0.500 0.930
Br 0.000 0.000 0.871
! - energy relative to the elements, uncorrected (meV/atom) = -563
! - DFT total energy (eV/atom) = -3.119

***

No. 3
! YCo2TcB (PBE-GGA, relaxed); values from VASP
&SYSTEM
  ibrav = 0, nat = 5, ntyp = 4
/
ATOMIC_SPECIES
Tc 98.00 Tc.upf
Co 58.93 Co.upf
B 10.81 B.upf
Y 88.91 Y.upf
CELL_PARAMETERS angstrom
-2.831 2.697 -1.037
0.626 -0.845 -3.906
-2.927 -3.004 0.181
ATOMIC_POSITIONS crystal
Tc 0.000 0.000 0.500
Co 0.500 0.000 0.000
B 0.000 0.000 0.000
Y 0.500 0.500 0.500
Co 0.000 0.500 0.000
! - energy relative to the elements (eV/f.u.) = -0.65
! - DFT total energy (eV/atom) = -7.674

***

No. 4
! LaPaAs2O (PBE-GGA, relaxed); values from VASP
&SYSTEM
  ibrav = 0, nat = 10, ntyp = 4
/
ATOMIC_SPECIES
Pa 231.04 Pa.upf
As 74.92 As.upf
La 138.91 La.upf
O 16.00 O.upf
CELL_PARAMETERS angstrom
-2.741 0.183 3.013
-2.947 -1.045 -2.617
2.377 -14.301 3.033
ATOMIC_POSITIONS crystal
Pa 0.500 0.000 0.114
As 0.000 0.500 0.706
Pa 0.000 0.500 0.886
La 0.000 0.500 0.417
O 0.000 0.000 0.500
As 0.500 0.000 0.294
La 0.500 0.000 0.583
As 0.000 0.500 0.087
As 0.500 0.000 0.913
O 0.500 0.500 0.500
! - energy relative to the elements, uncorrected (meV/atom) = -1664
! - DFT total energy (eV/atom) = -7.400

***

No. 5
! TaVAu (PBE-GGA, relaxed); values from VASP
&SYSTEM
  ibrav = 0, nat = 3, ntyp = 3
/
ATOMIC_SPECIES
V 50.94 V.upf
Au 196.97 Au.upf
Ta 180.95 Ta.upf
CELL_PARAMETERS angstrom
-0.894 -0.621 -2.534
2.605 -0.365 -0.829
-1.205 -5.788 3.345
ATOMIC_POSITIONS crystal
V 0.951 0.951 0.903
Au 0.611 0.611 0.223
Ta 0.287 0.287 0.574
! - energy relative to the elements (eV/f.u.) = 0.02
! - DFT total energy (eV/atom) = -8.076

***

No. 6
! PaZnRuRh (PBE-GGA, relaxed); values from VASP
&SYSTEM
  ibrav = 0, nat = 4, ntyp = 4
/
ATOMIC_SPECIES
Rh 102.91 Rh.upf
Ru 101.07 Ru.upf
Zn 65.41 Zn.upf
Pa 231.04 Pa.upf
CELL_PARAMETERS angstrom
-1.917 -0.180 3.119
1.161 -4.286 0.467
3.348 1.139 2.123
ATOMIC_POSITIONS crystal
Rh 0.500 0.500 0.000
Ru 0.500 0.000 0.500
Zn 0.000 0.500 0.500
Pa 0.000 0.000 0.000
! - energy relative to the elements (eV/f.u.) = -2.64
! - DFT total energy (eV/atom) = -7.510

***

No. 7
! ZrVSb2I (PBE-GGA, relaxed); values from VASP
&SYSTEM
  ibrav = 0, nat = 5, ntyp = 4
/
ATOMIC_SPECIES
V 50.94 V.upf
Sb 121.76 Sb.upf
Zr 91.22 Zr.upf
I 126.90 I.upf
CELL_PARAMETERS angstrom
-0.476 0.195 5.101
0.286 -5.114 0.222
5.399 0.323 0.491
ATOMIC_POSITIONS crystal
V 0.000 0.000 0.000
Sb 0.000 0.500 0.000
Sb 0.500 0.000 0.000
Zr 0.500 0.500 0.500
I 0.000 0.000 0.500
! - energy relative to the elements, uncorrected (meV/atom) = 586
! - DFT total energy (eV/atom) = -4.906

***

No. 8
! YTa2PRh (PBE-GGA, relaxed); values from VASP
&SYSTEM
  ibrav = 0, nat = 5, ntyp = 4
/
ATOMIC_SPECIES
Ta 180.95 Ta.upf
Y 88.91 Y.upf
Rh 102.91 Rh.upf
P 30.97 P.upf
CELL_PARAMETERS angstrom
-2.395 -1.784 -3.686
-2.891 -3.084 3.371
-3.215 3.465 0.412
ATOMIC_POSITIONS crystal
Ta 0.000 0.000 0.500
Y 0.000 0.500 0.000
Ta 0.500 0.000 0.000
Rh 0.000 0.000 0.000
P 0.500 0.500 0.500
! - energy relative to the elements (eV/f.u.) = 3.65
! - DFT total energy (eV/atom) = -7.857

***

No. 9
! Tm3AlTl3S8 (PBE-GGA, relaxed); values from VASP
&SYSTEM
  ibrav = 0, nat = 15, ntyp = 4
/
ATOMIC_SPECIES
S 32.06 S.upf
Al 26.98 Al.upf
Tm 168.93 Tm.upf
Tl 204.38 Tl.upf
CELL_PARAMETERS angstrom
-5.811 -2.565 -4.493
-0.111 -1.363 7.660
-1.608 8.101 -2.528
ATOMIC_POSITIONS crystal
S 0.216 0.433 0.687
Al 0.000 0.000 0.500
S 0.216 0.971 0.687
S 0.245 0.029 0.313
Tm 0.500 0.500 0.500
S 0.734 0.467 0.700
Tm 0.000 0.500 0.500
S 0.755 0.971 0.687
S 0.784 0.029 0.313
Tl 0.000 0.500 0.000
Tm 0.500 0.000 0.500
S 0.784 0.567 0.313
S 0.266 0.533 0.300
Tl 0.500 0.500 0.000
Tl 0.000 0.000 0.000
! - energy relative to the elements, uncorrected (meV/atom) = -1295
! - DFT total energy (eV/atom) = -5.114

***

No. 10
! NdPuBiO2 (PBE-GGA, relaxed); values from VASP
&SYSTEM
  ibrav = 0, nat = 5, ntyp = 4
/
ATOMIC_SPECIES
O 16.00 O.upf
Bi 208.98 Bi.upf
Nd 144.24 Nd.upf
Pu 244.00 Pu.upf
CELL_PARAMETERS angstrom
-3.898 0.410 -0.745
-0.758 -0.097 3.915
2.975 6.524 -1.295
ATOMIC_POSITIONS crystal
O 0.247 0.747 0.493
Bi 0.504 0.504 0.009
Nd 0.840 0.840 0.680
Pu 0.162 0.162 0.325
O 0.747 0.247 0.493
! - energy relative to the elements, uncorrected (meV/atom) = -2371
! - DFT total energy (eV/atom) = -8.950

***

No. 11
! Ca2Ag2I (PBE-GGA, relaxed); values from VASP
&SYSTEM
  ibrav = 0, nat = 10, ntyp = 3
/
ATOMIC_SPECIES
Ag 107.87 Ag.upf
I 126.90 I.upf
Ca 40.08 Ca.upf
CELL_PARAMETERS angstrom
-3.226 -0.212 7.912
-7.716 -1.822 -3.194
0.842 -3.981 0.237
ATOMIC_POSITIONS crystal
Ag 0.117 0.617 0.500
I 0.000 0.000 0.000
Ca 0.327 0.827 0.000
Ca 0.827 0.673 0.000
I 0.500 0.500 0.000
Ag 0.883 0.383 0.500
Ca 0.673 0.173 0.000
Ag 0.617 0.883 0.500
Ag 0.383 0.117 0.500
Ca 0.173 0.327 0.000
! - energy relative to the elements, uncorrected (meV/atom) = -464
! - DFT total energy (eV/atom) = -2.716

***

No. 12
! KCd3Bi3 (PBE-GGA, relaxed); values from VASP
&SYSTEM
  ibrav = 0, nat = 14, ntyp = 3
/
ATOMIC_SPECIES
Bi 208.98 Bi.upf
Cd 112.41 Cd.upf
K 39.10 K.upf
CELL_PARAMETERS angstrom
-5.008 -2.945 5.416
1.255 -7.223 3.057
3.960 0.437 9.724
ATOMIC_POSITIONS crystal
Bi 0.093 0.772 0.735
Cd 0.130 0.493 0.588
Cd 0.493 0.790 0.588
Cd 0.870 0.507 0.412
Cd 0.507 0.210 0.412
Cd 0.210 0.870 0.412
K 0.332 0.332 0.005
Bi 0.772 0.399 0.735
Bi 0.228 0.601 0.265
Bi 0.601 0.907 0.265
Bi 0.907 0.228 0.265
Bi 0.399 0.093 0.735
K 0.668 0.668 0.995
Cd 0.790 0.130 0.588
! - energy relative to the elements (eV/f.u.) = -0.38
! - DFT total energy (eV/atom) = -2.267

***

Q: What is the formula in the third record?
A: YCo2TcB

***

Q: Which of these has the lowest DFT total energy?
A: NdPuBiO2

***

Q: Among the records above, which one has the highest DFT total energy?
A: KCd3Bi3

***

Q: Among the records above, which one has the highest DFT total energy?
A: KCd3Bi3